Computed, not measured: an optimized crystal structure of Ce2Nd4Sn3N2 at the GGA-PBE level of DFT.

Structure (POSCAR):
```
Ce2Nd4Sn3N2
1.0
-2.449 2.449 12.852
2.449 -2.449 12.852
2.449 2.449 -12.852
Ce Nd Sn N
2 4 3 2
direct
0.193 0.193 0.000
0.807 0.807 0.000
0.084 0.584 0.500
0.416 0.916 0.500
0.584 0.084 0.500
0.916 0.416 0.500
0.322 0.322 0.000
0.500 0.500 0.000
0.678 0.678 0.000
0.108 0.108 0.000
0.892 0.892 0.000
```

Results
V ... 308.2 Å³/cell
Formation energy from raw total energies ... -10.0 eV/f.u.
Mass density ... 6.7 g/cm³

---

Computed, not measured: an optimized crystal structure of LaHfAgN2 at the GGA-PBE level of DFT.

Structure (POSCAR):
```
LaHfAgN2
1.0
4.259 0.000 0.000
0.000 4.259 0.000
0.000 0.000 6.212
La Hf Ag N
1 1 1 2
direct
0.000 0.000 0.000
0.000 0.000 0.500
0.500 0.500 0.000
0.000 0.500 0.500
0.500 0.000 0.500
```

Results
V ... 112.7 Å³/cell
Formation energy from raw total energies ... 2.7 eV/f.u.
Mass density ... 6.7 g/cm³

---

Computed, not measured: an optimized crystal structure of TbTlP2 at the GGA-PBE level of DFT.

Structure (POSCAR):
```
TbTlP2
1.0
2.050 1.184 6.501
-2.050 1.184 6.501
0.000 -2.368 6.501
Tb Tl P
1 1 2
direct
0.000 0.000 0.000
0.500 0.500 0.500
0.253 0.253 0.253
0.747 0.747 0.747
```

Results
V ... 94.7 Å³/cell
Mass density ... 7.5 g/cm³
Final energy ... -19.5 eV per cell

---

Computed, not measured: an optimized crystal structure of Si2AgPt at the GGA-PBE level of DFT.

Structure (POSCAR):
```
Si2AgPt
1.0
1.557 0.899 7.660
-1.557 0.899 7.660
0.000 -1.797 7.660
Si Ag Pt
2 1 1
direct
0.000 0.000 0.000
0.257 0.257 0.257
0.752 0.752 0.752
0.520 0.520 0.520
```

Results
V ... 64.3 Å³/cell
Formation energy from raw total energies ... 0.0 eV/f.u.
Mass density ... 9.3 g/cm³

---

Computed, not measured: an optimized crystal structure of Mn2ZnAu3 at the GGA-PBE level of DFT.

Structure (POSCAR):
```
Mn2ZnAu3
1.0
4.567 0.000 0.000
0.000 6.336 0.000
-2.088 0.000 6.840
Mn Zn Au
4 2 6
direct
0.000 0.000 0.000
0.000 0.500 0.000
0.321 0.000 0.670
0.679 0.000 0.330
0.318 0.500 0.671
0.682 0.500 0.329
0.183 0.249 0.335
0.183 0.751 0.335
0.500 0.249 0.000
0.500 0.751 0.000
0.817 0.249 0.665
0.817 0.751 0.665
```

Results
V ... 197.9 Å³/cell
Mass density ... 12.9 g/cm³
Final energy ... -59.9 eV per cell

---

Computed, not measured: an optimized crystal structure of LiZrBr at the GGA-PBE level of DFT.

Structure (POSCAR):
```
LiZrBr
1.0
0.000 2.836 6.928
1.701 0.000 6.928
1.701 2.836 0.000
Li Zr Br
1 1 1
direct
0.000 0.000 0.000
0.688 0.688 0.312
0.351 0.351 0.649
```

Results
V ... 66.9 Å³/cell
Formation energy from raw total energies ... -1.0 eV/f.u.
Mass density ... 4.4 g/cm³

---

Computed, not measured: an optimized crystal structure of Al2CrFeSn at the GGA-PBE level of DFT.

Structure (POSCAR):
```
Al2CrFeSn
1.0
5.145 0.000 0.000
0.000 5.145 0.000
0.000 0.000 5.085
Al Cr Fe Sn
2 1 1 1
direct
0.000 0.500 0.000
0.500 0.000 0.000
0.000 0.000 0.500
0.500 0.500 0.500
0.000 0.000 0.000
```

Results
V ... 134.6 Å³/cell
Mass density ... 3.5 g/cm³
Final energy ... -22.0 eV per cell

---

Computed, not measured: an optimized crystal structure of CaZn2GeAu4 at the GGA-PBE level of DFT.

Structure (POSCAR):
```
CaZn2GeAu4
1.0
2.269 1.310 8.704
-2.269 1.310 8.704
0.000 -2.620 8.704
Ca Zn Ge Au
1 2 1 4
direct
0.000 0.000 0.000
0.255 0.255 0.255
0.745 0.745 0.745
0.500 0.500 0.500
0.125 0.125 0.125
0.395 0.395 0.395
0.605 0.605 0.605
0.875 0.875 0.875
```

Results
V ... 155.2 Å³/cell
Mass density ... 11.0 g/cm³
Final energy ... -24.5 eV per cell

---

Computed, not measured: an optimized crystal structure of HgPOs2 at the GGA-PBE level of DFT.

Structure (POSCAR):
```
HgPOs2
1.0
1.437 0.830 8.667
-1.437 0.830 8.667
0.000 -1.660 8.667
Hg P Os
1 1 2
direct
0.000 0.000 0.000
0.500 0.500 0.500
0.233 0.233 0.233
0.767 0.767 0.767
```

Results
V ... 62.0 Å³/cell
Mass density ... 16.4 g/cm³
Final energy ... -27.0 eV per cell

---

Computed, not measured: an optimized crystal structure of Ag2GeI4 at the GGA-PBE level of DFT.

Structure (POSCAR):
```
Ag2GeI4
1.0
7.300 -2.271 0.000
7.300 2.271 0.000
-1.885 0.000 7.718
Ag Ge I
2 1 4
direct
0.157 0.157 0.087
0.843 0.843 0.913
0.500 0.500 0.500
0.122 0.122 0.415
0.372 0.372 0.135
0.628 0.628 0.865
0.878 0.878 0.585
```

Results
V ... 255.9 Å³/cell
Formation energy from raw total energies ... -1.7 eV/f.u.
Mass density ... 5.2 g/cm³

---

Computed, not measured: an optimized crystal structure of TlBiPbCl6 at the GGA-PBE level of DFT.

Structure (POSCAR):
```
TlBiPbCl6
1.0
7.390 0.000 0.000
-3.695 6.400 0.000
0.000 0.000 13.676
Tl Bi Pb Cl
2 2 2 12
direct
0.000 0.000 0.000
0.000 0.000 0.500
0.333 0.667 0.250
0.667 0.333 0.750
0.333 0.667 0.750
0.667 0.333 0.250
0.019 0.374 0.134
0.019 0.645 0.366
0.355 0.374 0.366
0.355 0.981 0.134
0.374 0.019 0.634
0.374 0.355 0.866
0.626 0.645 0.134
0.626 0.981 0.366
0.645 0.019 0.866
0.645 0.626 0.634
0.981 0.355 0.634
0.981 0.626 0.866
```

Results
V ... 646.8 Å³/cell
Formation energy from raw total energies ... -9.7 eV/f.u.
Mass density ... 4.3 g/cm³

---

Computed, not measured: an optimized crystal structure of Li2SmZrTe4 at the GGA-PBE level of DFT.

Structure (POSCAR):
```
Li2SmZrTe4
1.0
7.345 0.000 0.000
0.000 4.199 0.000
-2.398 0.000 7.127
Li Sm Zr Te
2 1 1 4
direct
0.000 0.000 0.000
0.500 0.500 0.000
0.000 0.500 0.500
0.500 0.000 0.500
0.263 0.500 0.248
0.268 0.000 0.761
0.732 0.000 0.239
0.737 0.500 0.752
```

Results
V ... 219.8 Å³/cell
Formation energy from raw total energies ... -8.6 eV/f.u.
Mass density ... 5.8 g/cm³

---

Computed, not measured: an optimized crystal structure of CaPm5Mg4 at the GGA-PBE level of DFT.

Structure (POSCAR):
```
CaPm5Mg4
1.0
3.880 0.000 0.000
0.000 3.880 0.000
0.000 0.000 20.361
Ca Pm Mg
1 5 4
direct
0.000 0.000 0.000
0.500 0.500 0.126
0.500 0.500 0.311
0.500 0.500 0.500
0.500 0.500 0.689
0.500 0.500 0.874
0.000 0.000 0.218
0.000 0.000 0.405
0.000 0.000 0.595
0.000 0.000 0.782
```

Results
V ... 306.5 Å³/cell
Mass density ... 4.7 g/cm³
Final energy ... -32.8 eV per cell

---

Computed, not measured: an optimized crystal structure of Nd4MgPt2 at the GGA-PBE level of DFT.

Structure (POSCAR):
```
Nd4MgPt2
1.0
7.015 0.000 0.000
-1.460 6.987 0.000
-2.772 -3.485 8.025
Nd Mg Pt
8 2 4
direct
0.000 0.000 0.000
0.011 0.513 0.027
0.025 0.766 0.581
0.322 0.181 0.457
0.426 0.633 0.862
0.456 0.697 0.444
0.578 0.284 0.165
0.879 0.240 0.572
0.546 0.106 0.783
0.777 0.843 0.244
0.034 0.368 0.315
0.215 0.219 0.843
0.384 0.890 0.184
0.732 0.569 0.712
```

Results
V ... 393.3 Å³/cell
Mass density ... 8.4 g/cm³
Final energy ... -74.9 eV per cell

---

Computed, not measured: an optimized crystal structure of Zr2AgRh at the GGA-PBE level of DFT.

Structure (POSCAR):
```
Zr2AgRh
1.0
-3.775 3.775 2.873
3.775 -3.775 2.873
3.775 3.775 -2.873
Zr Ag Rh
4 2 2
direct
0.091 0.625 0.966
0.375 0.341 0.466
0.659 0.125 0.034
0.875 0.909 0.534
0.250 0.750 0.500
0.500 0.500 0.000
0.000 0.000 0.000
0.750 0.250 0.500
```

Results
V ... 163.8 Å³/cell
Mass density ... 8.0 g/cm³
Final energy ... -55.0 eV per cell

---

Computed, not measured: an optimized crystal structure of Rb2IOF6 at the GGA-PBE level of DFT.

Structure (POSCAR):
```
Rb2IOF6
1.0
-3.372 3.372 4.610
3.372 -3.372 4.610
3.372 3.372 -4.610
Rb I O F
2 1 1 6
direct
0.250 0.750 0.500
0.750 0.250 0.500
0.000 0.000 0.000
0.500 0.500 0.000
0.219 0.219 0.438
0.219 0.781 0.000
0.221 0.221 0.000
0.779 0.779 0.000
0.781 0.219 0.000
0.781 0.781 0.562
```

Results
V ... 209.7 Å³/cell
Formation energy from raw total energies ... -15.0 eV/f.u.
Mass density ... 3.4 g/cm³

---

Computed, not measured: an optimized crystal structure of PmDy4Y8 at the GGA-PBE level of DFT.

Structure (POSCAR):
```
PmDy4Y8
1.0
3.660 2.113 9.084
-3.660 2.113 9.084
0.000 -4.226 9.084
Pm Dy Y
1 4 8
direct
0.000 0.000 0.000
0.000 0.000 0.500
0.000 0.500 0.000
0.500 0.000 0.000
0.500 0.500 0.500
0.250 0.250 0.696
0.250 0.696 0.250
0.282 0.282 0.282
0.304 0.750 0.750
0.696 0.250 0.250
0.718 0.718 0.718
0.750 0.304 0.750
0.750 0.750 0.304
```

Results
V ... 421.5 Å³/cell
Mass density ... 5.9 g/cm³
Final energy ... -72.2 eV per cell

---

Computed, not measured: an optimized crystal structure of Ti2MnCuC at the GGA-PBE level of DFT.

Structure (POSCAR):
```
Ti2MnCuC
1.0
4.191 0.000 0.000
0.000 4.191 0.000
0.000 0.000 3.657
Ti Mn Cu C
2 1 1 1
direct
0.000 0.500 0.000
0.500 0.000 0.000
0.000 0.000 0.500
0.500 0.500 0.500
0.000 0.000 0.000
```

Results
V ... 64.2 Å³/cell
Mass density ... 5.8 g/cm³
Final energy ... -39.7 eV per cell

---

Computed, not measured: an optimized crystal structure of Cs3CeSm3Se8 at the GGA-PBE level of DFT.

Structure (POSCAR):
```
Cs3CeSm3Se8
1.0
4.300 2.482 8.533
-4.300 2.482 8.533
0.000 -4.965 8.533
Cs Ce Sm Se
3 1 3 8
direct
0.000 0.500 0.500
0.500 0.000 0.500
0.500 0.500 0.000
0.500 0.500 0.500
0.000 0.000 0.500
0.000 0.500 0.000
0.500 0.000 0.000
0.229 0.229 0.229
0.234 0.725 0.725
0.275 0.275 0.766
0.275 0.766 0.275
0.725 0.234 0.725
0.725 0.725 0.234
0.766 0.275 0.275
0.771 0.771 0.771
```

Results
V ... 546.5 Å³/cell
Formation energy from raw total energies ... -25.9 eV/f.u.
Mass density ... 4.9 g/cm³

---

Computed, not measured: an optimized crystal structure of Mn3Ag at the GGA-PBE level of DFT.

Structure (POSCAR):
```
Mn3Ag
1.0
1.355 0.783 8.759
-1.355 0.783 8.759
0.000 -1.565 8.759
Mn Ag
3 1
direct
0.000 0.000 0.000
0.258 0.258 0.258
0.742 0.742 0.742
0.500 0.500 0.500
```

Results
V ... 55.7 Å³/cell
Mass density ... 8.1 g/cm³
Final energy ... -28.9 eV per cell